VASP calculation (meta-GGA SCAN) on Li2AgIr at its PBEsol-relaxed geometry.

The structure in CIF format:
```
data_Li2AgIr
_space_group_name_H-M_alt 'I m m 2'
_space_group_IT_number 44
_space_group_name_Hall 'I 2 -2'
_cell_length_a 2.6483
_cell_length_b 4.4885
_cell_length_c 9.2173
_cell_angle_alpha 90.00
_cell_angle_beta 90.00
_cell_angle_gamma 90.00
loop_
_atom_site_label
_atom_site_type_symbol
_atom_site_fract_x
_atom_site_fract_y
_atom_site_fract_z
Li1 Li 0.0000 0.0000 0.0000
Li2 Li 0.0000 0.5000 0.2518
Ag1 Ag 0.0000 0.5000 0.7426
Ir1 Ir 0.0000 0.0000 0.5063
```

Output
The density of states at the Fermi level is 3.62 states/eV/cell. The calculation puts the energy of formation at -0.018 eV/atom. The final energy comes out at -26.8291 eV/atom. The value obtained for the spin magnetization is 0.000 μB/atom.